Entry 1:
# Tl5Ga2S6 PBE-GGA relaxed
# Formation energy (no corrections) ... -451 meV per atom
# Spin magnetization ... 0.0 μB/f.u.
# Uncorrected energy ... -97.04 eV for the cell shown
data_Tl5Ga2S6
_cell_length_a 7.4406
_cell_length_b 7.4406
_cell_length_c 15.9296
_cell_angle_alpha 79.38
_cell_angle_beta 79.38
_cell_angle_gamma 63.64
_symmetry_space_group_name_H-M 'P 1'
_symmetry_Int_Tables_number 1
_symmetry_space_group_name_Hall 'P 1'
loop_
_atom_site_label
_atom_site_type_symbol
_atom_site_fract_x
_atom_site_fract_y
_atom_site_fract_z
_atom_site_occupancy
Tl1 Tl 0.7125 0.2443 0.9992 1
Tl2 Tl 0.7557 0.2875 0.5008 1
Tl3 Tl 0.2875 0.7557 0.0008 1
Tl4 Tl 0.2443 0.7125 0.4992 1
Tl5 Tl 0.6929 0.9911 0.7367 1
Tl6 Tl 0.0089 0.3071 0.7633 1
Tl7 Tl 0.3071 0.0089 0.2633 1
Tl8 Tl 0.9911 0.6929 0.2367 1
Tl9 Tl 0.3290 0.6710 0.7500 1
Tl10 Tl 0.6710 0.3290 0.2500 1
Ga1 Ga 0.3399 0.1079 0.5695 1
Ga2 Ga 0.8921 0.6601 0.9305 1
Ga3 Ga 0.6601 0.8921 0.4305 1
Ga4 Ga 0.1079 0.3399 0.0695 1
S1 S 0.0708 0.0336 0.6248 1
S2 S 0.9664 0.9292 0.8752 1
S3 S 0.9292 0.9664 0.3752 1
S4 S 0.0336 0.0708 0.1248 1
S5 S 0.3578 0.3405 0.6400 1
S6 S 0.6595 0.6422 0.8600 1
S7 S 0.6422 0.6595 0.3600 1
S8 S 0.3405 0.3578 0.1400 1
S9 S 0.6338 0.8057 0.5783 1
S10 S 0.1943 0.3662 0.9217 1
S11 S 0.3662 0.1943 0.4217 1
S12 S 0.8057 0.6338 0.0783 1



Entry 2:
# Tl3GaS3 PBE-GGA relaxed
# Formation energy (no corrections) ... -492 meV per atom
# Spin magnetization ... 0.0 μB/f.u.
# Uncorrected energy ... -103.81 eV for the cell shown
data_Tl3GaS3
_cell_length_a 7.3020
_cell_length_b 8.7410
_cell_length_c 12.9298
_cell_angle_alpha 98.74
_cell_angle_beta 90.00
_cell_angle_gamma 90.00
_symmetry_space_group_name_H-M 'P 1'
_symmetry_Int_Tables_number 1
_symmetry_space_group_name_Hall 'P 1'
loop_
_atom_site_label
_atom_site_type_symbol
_atom_site_fract_x
_atom_site_fract_y
_atom_site_fract_z
_atom_site_occupancy
Tl1 Tl 0.8736 0.8992 0.8673 1
Tl2 Tl 0.6264 0.8992 0.3673 1
Tl3 Tl 0.2303 0.6898 0.7213 1
Tl4 Tl 0.7440 0.5818 0.5758 1
Tl5 Tl 0.2697 0.6898 0.2213 1
Tl6 Tl 0.7560 0.5818 0.0758 1
Tl7 Tl 0.2440 0.4182 0.9242 1
Tl8 Tl 0.7303 0.3102 0.7787 1
Tl9 Tl 0.2560 0.4182 0.4242 1
Tl10 Tl 0.7697 0.3102 0.2787 1
Tl11 Tl 0.3736 0.1008 0.6327 1
Tl12 Tl 0.1264 0.1008 0.1327 1
Ga1 Ga 0.4235 0.8320 0.9692 1
Ga2 Ga 0.0765 0.8320 0.4692 1
Ga3 Ga 0.9235 0.1680 0.5308 1
Ga4 Ga 0.5765 0.1680 0.0308 1
S1 S 0.9015 0.9474 0.6119 1
S2 S 0.5985 0.9474 0.1119 1
S3 S 0.1418 0.7511 0.0175 1
S4 S 0.3582 0.7511 0.5175 1
S5 S 0.5749 0.6346 0.8660 1
S6 S 0.9251 0.6346 0.3660 1
S7 S 0.0749 0.3654 0.6340 1
S8 S 0.4251 0.3654 0.1340 1
S9 S 0.6418 0.2489 0.4825 1
S10 S 0.8582 0.2489 0.9825 1
S11 S 0.4015 0.0526 0.8881 1
S12 S 0.0985 0.0526 0.3881 1



Entry 3:
# Tl2GaS3 PBE-GGA relaxed
# Formation energy (no corrections) ... -349 meV per atom
# Spin magnetization ... 0.0 μB/f.u.
# Uncorrected energy ... -44.47 eV for the cell shown
data_Tl2GaS3
_cell_length_a 7.1085
_cell_length_b 6.9814
_cell_length_c 6.9814
_cell_angle_alpha 64.21
_cell_angle_beta 79.27
_cell_angle_gamma 79.27
_symmetry_space_group_name_H-M 'P 1'
_symmetry_Int_Tables_number 1
_symmetry_space_group_name_Hall 'P 1'
loop_
_atom_site_label
_atom_site_type_symbol
_atom_site_fract_x
_atom_site_fract_y
_atom_site_fract_z
_atom_site_occupancy
Tl1 Tl 0.6524 0.1883 0.4882 1
Tl2 Tl 0.1524 0.4882 0.1883 1
Tl3 Tl 0.8476 0.5118 0.8117 1
Tl4 Tl 0.3476 0.8117 0.5118 1
Ga1 Ga 0.7500 0.9218 0.0782 1
Ga2 Ga 0.2500 0.0782 0.9218 1
S1 S 0.2500 0.3840 0.6160 1
S2 S 0.7500 0.6160 0.3840 1
S3 S 0.9768 0.9264 0.8028 1
S4 S 0.5232 0.1972 0.0736 1
S5 S 0.4768 0.8028 0.9264 1
S6 S 0.0232 0.0736 0.1972 1